# 1
FeBiH2 | PBE-GGA | optimized geometry

```
data_FeBiH2
_chemical_formula_sum 'Fe4 Bi4 H8'
_space_group_name_H-M_alt 'F m -3 m'
_space_group_IT_number 225
_space_group_name_Hall '-F 4 2 3'
_cell_length_a 5.808
_cell_length_b 5.808
_cell_length_c 5.808
_cell_angle_alpha 90.00
_cell_angle_beta 90.00
_cell_angle_gamma 90.00
loop_
_atom_site_label
_atom_site_fract_x
_atom_site_fract_y
_atom_site_fract_z
Fe1 0.000 0.000 0.000
Bi1 0.000 0.000 0.500
H1 0.250 0.250 0.250
```

## Properties
For the relative energy among the computed polymorphs, the calculation gives 583.6 meV per atom. The total energy comes out at -60.37 eV/cell. The total moment is 2.61 μB/f.u.


# 2
Pd3PbS | PBE-GGA | optimized geometry

```
data_Pd3PbS
_chemical_formula_sum 'Pd3 Pb1 S1'
_space_group_name_H-M_alt 'P m -3 m'
_space_group_IT_number 221
_space_group_name_Hall '-P 4 2 3'
_cell_length_a 5.054
_cell_length_b 5.054
_cell_length_c 5.054
_cell_angle_alpha 90.00
_cell_angle_beta 90.00
_cell_angle_gamma 90.00
loop_
_atom_site_label
_atom_site_fract_x
_atom_site_fract_y
_atom_site_fract_z
Pd1 0.000 0.000 0.500
Pb1 0.000 0.000 0.000
S1 0.500 0.500 0.500
```

## Properties
For the relative energy among the computed polymorphs, the calculation gives 1208.2 meV per atom. The total energy comes out at -18.53 eV/cell. Its uncorrected formation energy is 0.976 eV per atom. The total moment is 0.00 μB/f.u.